Density functional theory data (GGA-PBE) for Tb7Ru2Pt2 after structural relaxation.

a b c (Å): 6.595 6.595 6.862
angles (deg): 90.00 90.00 107.05
Positions (direct):
Tb 0.000 0.000 0.000
Tb 0.000 0.500 0.266
Tb 0.000 0.500 0.734
Tb 0.500 0.000 0.266
Tb 0.500 0.000 0.734
Tb 0.500 0.500 0.255
Tb 0.500 0.500 0.745
Ru 0.289 0.711 0.000
Ru 0.711 0.289 0.000
Pt 0.191 0.191 0.500
Pt 0.809 0.809 0.500

**Formation energy**: -0.479 eV/atom
**Size of the total moment**: 0.000 μB/atom
**Symmetry**: Cmmm
**DOS at the Fermi energy**: 0.377 states/eV per atom
**DFT total energy**: -0.2282 Ha/atom

---

Density functional theory data (GGA-PBE) for TePbI3 after structural relaxation.

a b c (Å): 6.274 6.274 6.274
angles (deg): 90.00 90.00 90.00
Positions (direct):
Te 0.000 0.000 0.000
Pb 0.500 0.500 0.500
I 0.000 0.500 0.500
I 0.500 0.000 0.500
I 0.500 0.500 0.000

**Size of the total moment**: 0.592 μB/atom
**Symmetry**: Pm-3m
**ΔE_f (raw)**: 0.11 eV per atom
**DOS at the Fermi energy**: 0.939 states/eV per atom
**DFT total energy**: -0.0805 Ha/atom

---

Density functional theory data (GGA-PBE) for TmNpSe4 after structural relaxation.

a b c (Å): 9.198 9.333 4.211
angles (deg): 90.00 90.00 90.00
Positions (direct):
Tm 0.000 0.000 0.000
Tm 0.500 0.500 0.000
Np 0.000 0.500 0.500
Np 0.500 0.000 0.500
Se 0.000 0.306 0.000
Se 0.000 0.694 0.000
Se 0.203 0.000 0.500
Se 0.297 0.500 0.500
Se 0.500 0.194 0.000
Se 0.500 0.806 0.000
Se 0.703 0.500 0.500
Se 0.797 0.000 0.500

**Size of the total moment**: 0.340 μB/atom
**Symmetry**: Cmmm
**ΔE_f (raw)**: -1.17 eV per atom
**DOS at the Fermi energy**: 1.090 states/eV per atom
**DFT total energy**: -0.2351 Ha/atom

---

Density functional theory data (GGA-PBE) for SmTeN after structural relaxation.

a b c (Å): 4.206 4.953 8.357
angles (deg): 106.42 93.50 90.05
Positions (direct):
Sm 0.248 0.294 0.092
Sm 0.752 0.706 0.908
Te 0.477 0.110 0.707
Te 0.523 0.890 0.293
N 0.272 0.771 0.045
N 0.728 0.229 0.955

**Size of the total moment**: 0.000 μB/atom
**Symmetry**: P-1
**ΔE_f (raw)**: -0.90 eV per atom
**DFT total energy**: -0.2314 Ha/atom

---

Density functional theory data (GGA-PBE) for Ho6MgNi after structural relaxation.

a b c (Å): 6.911 6.917 7.113
angles (deg): 90.08 118.98 119.93
Positions (direct):
Ho 0.054 0.078 0.259
Ho 0.283 0.705 0.259
Ho 0.318 0.523 0.741
Ho 0.682 0.477 0.259
Ho 0.717 0.295 0.741
Ho 0.946 0.922 0.741
Mg 0.500 0.000 0.000
Ni 0.500 0.500 0.500

**Formation energy**: 0.151 eV/atom
**Size of the total moment**: 0.000 μB/atom
**Symmetry**: P-1
**DOS at the Fermi energy**: 1.534 states/eV per atom
**DFT total energy**: -0.1545 Ha/atom

---

Density functional theory data (GGA-PBE) for Rb2ZnCuI6 after structural relaxation.

a b c (Å): 8.324 8.324 8.324
angles (deg): 120.45 120.45 89.23
Positions (direct):
Rb 0.250 0.750 0.500
Rb 0.750 0.250 0.500
Zn 0.000 0.000 0.000
Cu 0.500 0.500 0.000
I 0.215 0.215 0.000
I 0.273 0.273 0.545
I 0.273 0.727 0.000
I 0.727 0.273 0.000
I 0.727 0.727 0.455
I 0.785 0.785 0.000

**Size of the total moment**: 0.100 μB/atom
**Symmetry**: I4/mmm
**ΔE_f (raw)**: -0.71 eV per atom
**DOS at the Fermi energy**: 0.340 states/eV per atom
**DFT total energy**: -0.0871 Ha/atom

---

Density functional theory data (GGA-PBE) for LaPrCoRh after structural relaxation.

a b c (Å): 7.103 7.103 7.103
angles (deg): 90.00 90.00 90.00
Positions (direct):
La 0.000 0.000 0.000
La 0.000 0.500 0.500
La 0.500 0.000 0.500
La 0.500 0.500 0.000
Pr 0.000 0.000 0.500
Pr 0.000 0.500 0.000
Pr 0.500 0.000 0.000
Pr 0.500 0.500 0.500
Co 0.250 0.250 0.250
Co 0.250 0.750 0.750
Co 0.750 0.250 0.750
Co 0.750 0.750 0.250
Rh 0.250 0.250 0.750
Rh 0.250 0.750 0.250
Rh 0.750 0.250 0.250
Rh 0.750 0.750 0.750

**Formation energy**: -0.269 eV/atom
**Size of the total moment**: 0.155 μB/atom
**Symmetry**: F-43m
**DOS at the Fermi energy**: 0.655 states/eV per atom
**DFT total energy**: -0.2319 Ha/atom

---

Density functional theory data (GGA-PBE) for Sm4CdAu2 after structural relaxation.

a b c (Å): 9.923 9.923 9.923
angles (deg): 29.42 29.42 29.42
Positions (direct):
Sm 0.118 0.118 0.118
Sm 0.294 0.294 0.294
Sm 0.706 0.706 0.706
Sm 0.882 0.882 0.882
Cd 0.500 0.500 0.500
Au 0.399 0.399 0.399
Au 0.601 0.601 0.601

**Formation energy**: -0.382 eV/atom
**Size of the total moment**: 0.000 μB/atom
**Symmetry**: R-3m
**DOS at the Fermi energy**: 1.216 states/eV per atom
**DFT total energy**: -0.1524 Ha/atom

---

Density functional theory data (GGA-PBE) for CuTe2AuS after structural relaxation.

a b c (Å): 5.391 5.391 4.224
angles (deg): 90.00 90.00 90.00
Positions (direct):
Cu 0.000 0.000 0.000
Te 0.000 0.500 0.500
Te 0.500 0.000 0.500
Au 0.500 0.500 0.000
S 0.000 0.000 0.500

**Size of the total moment**: 0.000 μB/atom
**Symmetry**: P4/mmm
**ΔE_f (raw)**: 0.48 eV per atom
**DOS at the Fermi energy**: 0.642 states/eV per atom
**DFT total energy**: -0.1130 Ha/atom

---

Density functional theory data (GGA-PBE) for Be4CoSb after structural relaxation.

a b c (Å): 4.489 4.489 4.489
angles (deg): 60.00 60.00 60.00
Positions (direct):
Be 0.121 0.121 0.121
Be 0.121 0.121 0.636
Be 0.121 0.636 0.121
Be 0.636 0.121 0.121
Co 0.750 0.750 0.750
Sb 0.500 0.500 0.500

**Size of the total moment**: 0.000 μB/atom
**Symmetry**: F-43m
**ΔE_f (raw)**: 0.14 eV per atom
**DOS at the Fermi energy**: 0.264 states/eV per atom
**DFT total energy**: -0.1548 Ha/atom

---

Density functional theory data (GGA-PBE) for MgCu2BPd after structural relaxation.

a b c (Å): 3.994 3.994 4.218
angles (deg): 90.00 90.00 90.00
Positions (direct):
Mg 0.000 0.000 0.000
Cu 0.000 0.500 0.500
Cu 0.500 0.000 0.500
B 0.500 0.500 0.500
Pd 0.500 0.500 0.000

**Formation energy**: -0.120 eV/atom
**Size of the total moment**: 0.000 μB/atom
**Symmetry**: P4/mmm
**DOS at the Fermi energy**: 0.438 states/eV per atom
**DFT total energy**: -0.1636 Ha/atom

---

Density functional theory data (GGA-PBE) for ZnRu2Au after structural relaxation.

a b c (Å): 2.802 2.802 26.779
angles (deg): 90.00 90.00 120.00
Positions (direct):
Zn 0.000 0.000 0.000
Zn 0.333 0.667 0.667
Zn 0.667 0.333 0.333
Ru 0.000 0.000 0.489
Ru 0.000 0.000 0.748
Ru 0.333 0.667 0.156
Ru 0.333 0.667 0.414
Ru 0.667 0.333 0.081
Ru 0.667 0.333 0.822
Au 0.000 0.000 0.247
Au 0.333 0.667 0.914
Au 0.667 0.333 0.580

**Formation energy**: 0.103 eV/atom
**Size of the total moment**: 0.000 μB/atom
**Symmetry**: R3m
**DOS at the Fermi energy**: 1.398 states/eV per atom
**DFT total energy**: -0.2085 Ha/atom

---

For each record above, in turn, the calculated mass density values are 9.9; 4.8; 6.6; 5.8; 7.3; 4.4; 8.2; 8.8; 7.4; 5.6; 6.6; 12.7 Mg/m³.